(1)
Below is a relaxed Hf2InCo crystal, with properties calculated at the GGA-PBE level.

Lattice parameters (Å, degrees): 6.764 6.764 7.165 96.13 96.13 28.55
Atoms (fractional coordinates):
Hf  0.054  0.054  0.308
Hf  0.233  0.233  0.675
Hf  0.767  0.767  0.325
Hf  0.946  0.946  0.692
In  0.385  0.385  0.037
In  0.615  0.615  0.963
Co  0.406  0.406  0.422
Co  0.594  0.594  0.578

Summary:
Its space group is C2/m. Its total energy is -7.76 eV/atom.

(2)
Below is a relaxed CsBi5Os3 crystal, with properties calculated at the GGA-PBE level.

Lattice parameters (Å, degrees): 5.900 5.900 8.848 90.00 90.00 120.00
Atoms (fractional coordinates):
Cs  0.000  0.000  0.000
Bi  0.000  0.000  0.500
Bi  0.333  0.667  0.248
Bi  0.333  0.667  0.752
Bi  0.667  0.333  0.248
Bi  0.667  0.333  0.752
Os  0.000  0.500  0.500
Os  0.500  0.000  0.500
Os  0.500  0.500  0.500

Summary:
Its space group is P6/mmm. Its total energy is -5.67 eV/atom.

(3)
Below is a relaxed Dy2CuNi crystal, with properties calculated at the GGA-PBE level.

Lattice parameters (Å, degrees): 4.250 5.464 7.086 90.00 90.00 90.00
Atoms (fractional coordinates):
Dy  0.000  0.111  0.000
Dy  0.000  0.889  0.500
Dy  0.500  0.378  0.637
Dy  0.500  0.622  0.137
Cu  0.000  0.375  0.352
Cu  0.000  0.625  0.852
Ni  0.500  0.125  0.283
Ni  0.500  0.875  0.783

Summary:
Its calculated formation energy is -368 meV per atom. Its space group is Pmc2_1. Its total energy is -4.99 eV/atom.